Entry from the Alexandria database: a relaxed structure of NaSc2AlOs (PBE).

Unit cell a=4.944 b=4.944 c=5.378 alpha=90.00 beta=90.00 gamma=90.00
Fractional positions:
Na1 0.000 0.000 0.000
Sc1 0.000 0.500 0.500
Sc2 0.500 0.000 0.500
Al1 0.500 0.500 0.000
Os1 0.000 0.000 0.500

Computed properties:
Space-group type ... P4/mmm
E ... -5.3069 eV/atom
Crystal system ... tetragonal